# 1
VASP calculation (PBE) on Rb2SrReAg after structural relaxation.

The value obtained for the calculated total energy is -12.3 eV/cell. The symmetry is P4/mmm. As for the formation energy from the elements: 1.327 eV/atom.

a b c (Å): 6.5677 6.5677 5.3669
angles (deg): 90.00 90.00 90.00
Last column: magnetic moment on the atom in μB.
Positions (direct):
Re1 0.0000 0.0000 0.0000  2.82
Rb1 0.0000 0.5000 0.0000  0.01
Rb2 0.5000 0.0000 0.0000  0.01
Ag1 0.0000 0.0000 0.5000  0.11
Sr1 0.5000 0.5000 0.5000  -0.02

# 2
VASP calculation (PBE) on ScZn3S after structural relaxation.

The value obtained for the uncorrected formation energy is 0.89 eV per atom. The value obtained for the calculated total energy is -9.8 eV/cell. The symmetry is Pm-3m.

a b c (Å): 5.2610 5.2610 5.2610
angles (deg): 90.00 90.00 90.00
Last column: magnetic moment on the atom in μB.
Positions (direct):
Sc1 0.0000 0.0000 0.0000  0.35
Zn1 0.0000 0.5000 0.0000  0.01
Zn2 0.0000 0.0000 0.5000  0.01
Zn3 0.5000 0.0000 0.0000  0.06
S1 0.5000 0.5000 0.5000  -0.04

# 3
VASP calculation (PBE) on ErTiClO3 after structural relaxation.

The value obtained for the uncorrected formation energy is -3.09 eV per atom. The value obtained for the calculated total energy is -95.5 eV/cell. The symmetry is C2/m.

a b c (Å): 5.3196 5.3196 9.7661
angles (deg): 75.06 75.06 42.83
Positions (direct):
Er1 0.2721 0.2721 0.2056
Er2 0.7279 0.7279 0.7944
Ti1 0.8815 0.8815 0.4277
Ti2 0.1185 0.1185 0.5723
Cl1 0.6151 0.6151 0.0922
Cl2 0.3849 0.3849 0.9078
O1 0.8477 0.8477 0.2480
O2 0.1523 0.1523 0.7520
O3 0.6702 0.6702 0.5665
O4 0.3298 0.3298 0.4335
O5 0.9240 0.9240 0.6258
O6 0.0760 0.0760 0.3742

Question: Look up the calculated total energy of the third one.
Answer: -95.5 eV/cell